First-principles (PBE-GGA) data for Cs2ErHg3F12 after structural relaxation, as listed in the Alexandria database.

ΔE_f (raw) ... -41.2 eV per formula unit
V ... 1209.7 Å³ per cell

Lattice parameters (Å, degrees): 8.1746 8.1746 20.9026 90.00 90.00 120.00
Space group R-3m (No. 166, hexagonal axes)
Symmetry-distinct sites (fractional):
Cs1 0.0000 0.0000 0.1676 (multiplicity 6)
Er1 0.0000 0.0000 0.5000 (multiplicity 3)
Hg1 0.0000 0.5000 0.0000 (multiplicity 9)
F1 0.0766 0.5383 0.1105 (multiplicity 18)
F2 0.0814 0.5407 0.3656 (multiplicity 18)

***

First-principles (PBE-GGA) data for Ag2Pb after structural relaxation, as listed in the Alexandria database.

E_form ... 4 kJ/mol of atoms
V ... 265.3 Å³ per cell

Lattice parameters (Å, degrees): 5.7848 5.7848 9.1555 90.00 90.00 120.00
Space group P6_3/mmc (No. 194)
Symmetry-distinct sites (fractional):
Ag1 0.0000 0.0000 0.0000 (multiplicity 2)
Ag2 0.1689 0.3378 0.2500 (multiplicity 6)
Pb1 0.3333 0.6667 0.5564 (multiplicity 4)

***

First-principles (PBE-GGA) data for BaCd2AgPd after structural relaxation, as listed in the Alexandria database.

Offset from the most stable computed form ... 0.000 eV/atom
E_form ... -31 kJ/mol of atoms
V ... 260.3 Å³ per cell

Lattice parameters (Å, degrees): 4.420 4.751 12.395 90.00 90.00 90.00
Space group Imm2 (No. 44)
Symmetry-distinct sites (fractional):
Ba1 0.000 0.000 0.000 (multiplicity 2)
Cd1 0.000 0.000 0.374 (multiplicity 2)
Cd2 0.000 0.500 0.233 (multiplicity 2)
Ag1 0.000 0.500 0.725 (multiplicity 2)
Pd1 0.000 0.000 0.594 (multiplicity 2)

***

First-principles (PBE-GGA) data for La8Cu3GeI4 after structural relaxation, as listed in the Alexandria database.

ΔE_f (raw) ... -10.9 eV per formula unit
V ... 1553.5 Å³ per cell

Lattice parameters (Å, degrees): 8.7431 8.7431 23.4617 90.00 90.00 120.00
Space group R-3m (No. 166, hexagonal axes)
Symmetry-distinct sites (fractional):
La1 0.0000 0.0000 0.2337 (multiplicity 6)
La2 0.0019 0.5009 0.7639 (multiplicity 18)
Cu1 0.0000 0.5000 0.5000 (multiplicity 9)
Ge1 0.0000 0.0000 0.5000 (multiplicity 3)
I1 0.0000 0.0000 0.0000 (multiplicity 3)
I2 0.0000 0.5000 0.0000 (multiplicity 9)

***

First-principles (PBE-GGA) data for MoRu after structural relaxation, as listed in the Alexandria database.

E_form ... 58 kJ/mol of atoms
V ... 63.7 Å³ per cell

Lattice parameters (Å, degrees): 2.771 4.751 4.837 90.00 90.00 90.00
Space group Immm (No. 71)
Symmetry-distinct sites (fractional):
Mo1 0.000 0.000 0.000 (multiplicity 2)
Ru1 0.000 0.000 0.500 (multiplicity 2)

***

First-principles (PBE-GGA) data for Nd8MgSn2 after structural relaxation, as listed in the Alexandria database.

E_form ... -24 kJ/mol of atoms
V ... 712.2 Å³ per cell

Lattice parameters (Å, degrees): 19.722 5.329 7.048 90.00 105.98 90.00
Space group C2/m (No. 12)
Symmetry-distinct sites (fractional):
Nd1 0.015 0.000 0.266 (multiplicity 4)
Nd2 0.093 0.500 0.984 (multiplicity 4)
Nd3 0.159 0.500 0.489 (multiplicity 4)
Nd4 0.208 0.000 0.813 (multiplicity 4)
Mg1 0.000 0.500 0.500 (multiplicity 2)
Sn1 0.179 0.000 0.246 (multiplicity 4)

***

| no. | D(E_F) (states/eV/cell) | electronic total energy (eV per atom) |
| --- | --- | --- |
| 1 | 11.66 | -3.936 |
| 2 | 2.26 | -3.092 |
| 3 | 5.17 | -2.677 |
| 4 | 55.15 | -4.587 |
| 5 | 3.24 | -9.455 |
| 6 | 25.40 | -4.590 |